A relaxed structure of LaPm2Er6, computed with PBE.

Lattice parameters (Å, degrees): 9.7401 9.7401 3.5346 90.00 90.00 120.00
Space group P-3 (No. 147)
Unique sites:
La 0.0000 0.0000 0.0000 (multiplicity 1)
Pm 0.3333 0.6667 0.2373 (multiplicity 2)
Er 0.0226 0.6691 0.7316 (multiplicity 6)

## Properties
The relative energy among the computed polymorphs comes out at 0.0 meV/atom. Its electronic total energy is -4.5731 eV per atom. The calculation puts the size of the total moment at 0.00 μB per formula unit. For the formation energy from the elements, the calculation gives 0.6 eV/f.u. Its density is 8.19 g/cm³.

A relaxed structure of LaPm12Er6, computed with PBE.

Lattice parameters (Å, degrees): 13.4359 13.4359 12.6288 90.00 90.00 120.00
Space group R-3m (No. 166, hexagonal axes)
Unique sites:
La 0.0000 0.0000 0.0000 (multiplicity 3)
Pm 0.0000 0.2589 0.5000 (multiplicity 18)
Pm 0.0910 0.1820 0.2632 (multiplicity 18)
Er 0.0398 0.5199 0.6212 (multiplicity 18)

## Properties
The relative energy among the computed polymorphs comes out at 56.9 meV/atom. Its electronic total energy is -4.5091 eV per atom. The calculation puts the size of the total moment at 0.00 μB per formula unit. For the formation energy from the elements, the calculation gives 3.6 eV/f.u. Its density is 7.27 g/cm³.

A relaxed structure of La5Pm2Er6, computed with PBE.

Lattice parameters (Å, degrees): 11.708 20.940 3.626 90.00 90.00 90.00
Space group Pbam (No. 55)
Unique sites:
La 0.000 0.000 0.000 (multiplicity 2)
La 0.061 0.289 0.000 (multiplicity 4)
La 0.196 0.568 0.000 (multiplicity 4)
Pm 0.197 0.731 0.500 (multiplicity 4)
Er 0.060 0.142 0.500 (multiplicity 4)
Er 0.075 0.433 0.500 (multiplicity 4)
Er 0.191 0.875 0.000 (multiplicity 4)

## Properties
Its electronic total energy is -4.6379 eV per atom. The calculation puts the size of the total moment at 0.00 μB per formula unit. For the formation energy from the elements, the calculation gives 1.2 eV/f.u. Its density is 7.43 g/cm³.

A relaxed structure of La2PmEr6, computed with PBE.

Lattice parameters (Å, degrees): 3.396 10.082 17.483 90.00 90.00 90.00
Space group Immm (No. 71)
Unique sites:
La 0.000 0.000 0.166 (multiplicity 4)
Pm 0.000 0.000 0.500 (multiplicity 2)
Er 0.000 0.186 0.334 (multiplicity 8)
Er 0.000 0.192 0.000 (multiplicity 4)

## Properties
The relative energy among the computed polymorphs comes out at 163.3 meV/atom. Its electronic total energy is -4.4650 eV per atom. The calculation puts the size of the total moment at 0.00 μB per formula unit. For the formation energy from the elements, the calculation gives 1.8 eV/f.u. Its density is 7.91 g/cm³.

A relaxed structure of La3Pm4Er5, computed with PBE.

Lattice parameters (Å, degrees): 6.257 7.225 8.870 89.79 89.91 89.94
Space group P-1 (No. 2)
Unique sites:
La 0.000 0.000 0.000 (multiplicity 1)
La 0.169 0.250 0.332 (multiplicity 2)
Pm 0.171 0.750 0.332 (multiplicity 2)
Pm 0.331 0.499 0.670 (multiplicity 2)
Er 0.000 0.500 0.000 (multiplicity 1)
Er 0.335 0.000 0.670 (multiplicity 2)
Er 0.498 0.750 0.000 (multiplicity 2)

## Properties
Its electronic total energy is -4.6937 eV per atom. The calculation puts the size of the total moment at 0.00 μB per formula unit. For the formation energy from the elements, the calculation gives 0.3 eV/f.u. Its density is 7.59 g/cm³.

A relaxed structure of La16Pm6Er7, computed with PBE.

Lattice parameters (Å, degrees): 16.084 16.084 16.084 90.00 90.00 90.00
Space group Fm-3m (No. 225)
Unique sites:
La 0.121 0.121 0.121 (multiplicity 32)
La 0.154 0.154 0.346 (multiplicity 32)
Pm 0.000 0.000 0.298 (multiplicity 24)
Er 0.000 0.000 0.000 (multiplicity 4)
Er 0.000 0.250 0.250 (multiplicity 24)

## Properties
Its electronic total energy is -4.6178 eV per atom. The calculation puts the size of the total moment at 2.29 μB per formula unit. For the formation energy from the elements, the calculation gives 5.4 eV/f.u. Its density is 6.81 g/cm³.

A relaxed structure of La4Pm2Er5, computed with PBE.

Lattice parameters (Å, degrees): 19.313 5.739 6.722 90.00 90.67 90.00
Space group C2/m (No. 12)
Unique sites:
La 0.022 0.000 0.289 (multiplicity 4)
La 0.194 0.500 0.080 (multiplicity 4)
Pm 0.100 0.500 0.559 (multiplicity 4)
Er 0.000 0.500 0.000 (multiplicity 2)
Er 0.130 0.000 0.883 (multiplicity 4)
Er 0.210 0.000 0.403 (multiplicity 4)

## Properties
The relative energy among the computed polymorphs comes out at 0.0 meV/atom. Its electronic total energy is -4.6345 eV per atom. The calculation puts the size of the total moment at 0.00 μB per formula unit. For the formation energy from the elements, the calculation gives 1.0 eV/f.u. Its density is 7.50 g/cm³.

A relaxed structure of La4PmEr10, computed with PBE.

Lattice parameters (Å, degrees): 9.716 9.716 10.742 90.00 90.00 90.00
Space group I4/m (No. 87)
Unique sites:
La 0.066 0.335 0.000 (multiplicity 8)
Pm 0.000 0.000 0.000 (multiplicity 2)
Er 0.000 0.500 0.250 (multiplicity 4)
Er 0.115 0.209 0.341 (multiplicity 16)

## Properties
Its electronic total energy is -4.3174 eV per atom. The calculation puts the size of the total moment at 0.00 μB per formula unit. For the formation energy from the elements, the calculation gives 5.3 eV/f.u. Its density is 7.77 g/cm³.